A plane-wave DFT calculation with GGA-PBE was carried out for an optimized crystal structure of SrPr2Bi.

Lattice parameters (Å, degrees): 5.079 5.079 5.297 90.00 90.00 90.00
Space group P4/mmm (No. 123)
Unique sites:
Sr: 0.000 0.000 0.000 [1 per cell]
Pr: 0.000 0.500 0.500 [2 per cell]
Bi: 0.500 0.500 0.000 [1 per cell]

Properties
Energy of formation, eV/atom: -0.332
Crystal system: tetragonal
Total moment, μB/atom: 0.00